{
  "formula": "HoCdPt2",
  "functional": "PBE-GGA",
  "state": "optimized geometry",
  "magmom_total_mub_per_fu": 0.00,
  "space_group": "P4/mmm, No. 123",
  "formation_energy_ev_per_atom": -0.82,
  "e_tot_ev_per_cell": -20.9,
  "lattice": [[-1.665, 0.732, -3.149], [0.228, -4.449, -1.155], [-4.085, -0.726, 1.991]],
  "species": ["Ho", "Pt", "Pt", "Cd"],
  "frac_coords": [[0.500, 0.500, 0.500], [0.000, 0.000, 0.500], [0.000, 0.500, 0.000], [0.500, 0.000, 0.000]]
}